1.
Computed, not measured: a relaxed structure of KNdCrO4 at the GGA+U level of DFT.

Calculated values
Its density of states at the Fermi level is 0.00 states/eV per cell.

Structure (CIF):
```
data_KNdCrO4
_chemical_formula_sum 'K2 Nd2 Cr2 O8'
_space_group_name_H-M_alt 'P 1 21/m 1'
_space_group_IT_number 11
_cell_length_a 5.992
_cell_length_b 5.923
_cell_length_c 7.459
_cell_angle_alpha 90.00
_cell_angle_beta 106.80
_cell_angle_gamma 90.00
loop_
_space_group_symop_operation_xyz
'x,y,z'
'-x,-y,-z'
'-x,y+1/2,-z'
'x,-y+1/2,z'
loop_
_atom_site_label
_atom_site_fract_x
_atom_site_fract_y
_atom_site_fract_z
_atom_site_occupancy
K1 0.185 0.250 0.423 1
Nd1 0.296 0.250 0.953 1
Cr1 0.244 0.750 0.174 1
O1 0.049 0.750 0.314 1
O2 0.056 0.750 0.942 1
O3 0.453 0.521 0.187 1
```

2.
Computed, not measured: a relaxed structure of K3NdCr2O8 at the GGA+U level of DFT.

Calculated values
Its density of states at the Fermi level is 7.64 states/eV per cell.

Structure (CIF):
```
data_K3NdCr2O8
_chemical_formula_sum 'K3 Nd1 Cr2 O8'
_space_group_name_H-M_alt 'P -3 m 1'
_space_group_IT_number 164
_space_group_name_Hall '-P 3 2"'
_cell_length_a 6.0771
_cell_length_b 6.0771
_cell_length_c 7.7470
_cell_angle_alpha 90.00
_cell_angle_beta 90.00
_cell_angle_gamma 120.00
loop_
_atom_site_label
_atom_site_fract_x
_atom_site_fract_y
_atom_site_fract_z
_atom_site_occupancy
K1 0.0000 0.0000 0.0000 1
K2 0.3333 0.6667 0.6862 1
Nd1 0.0000 0.0000 0.5000 1
Cr1 0.3333 0.6667 0.2350 1
O1 0.1786 0.3572 0.3185 1
O2 0.3333 0.6667 0.0202 1
```

3.
Computed, not measured: a relaxed structure of K3Nd3CrO8 at the GGA+U level of DFT.

Structure (CIF):
```
data_K3Nd3CrO8
_chemical_formula_sum 'K6 Nd6 Cr2 O16'
_space_group_name_H-M_alt 'C 1 2/m 1'
_space_group_IT_number 12
_cell_length_a 12.148
_cell_length_b 6.941
_cell_length_c 7.472
_cell_angle_alpha 90.00
_cell_angle_beta 122.41
_cell_angle_gamma 90.00
loop_
_space_group_symop_operation_xyz
'x,y,z'
'-x,-y,-z'
'-x,y,-z'
'x,-y,z'
'x+1/2,y+1/2,z'
'-x+1/2,-y+1/2,-z'
'-x+1/2,y+1/2,-z'
'x+1/2,-y+1/2,z'
loop_
_atom_site_label
_atom_site_fract_x
_atom_site_fract_y
_atom_site_fract_z
_atom_site_occupancy
K1 0.000 0.000 0.000 1
K2 0.250 0.250 0.000 1
Nd1 0.000 0.500 0.500 1
Nd2 0.250 0.250 0.500 1
Cr1 0.000 0.000 0.500 1
O1 0.014 0.212 0.331 1
O2 0.207 0.000 0.675 1
O3 0.229 0.500 0.693 1
```

4.
Computed, not measured: a relaxed structure of KNdCr2O8 at the GGA+U level of DFT.

Calculated values
Its density of states at the Fermi level is 0.00 states/eV per cell.

Structure (CIF):
```
data_KNdCr2O8
_chemical_formula_sum 'K1 Nd1 Cr2 O8'
_space_group_name_H-M_alt 'P -3'
_space_group_IT_number 147
_cell_length_a 5.8658
_cell_length_b 5.8658
_cell_length_c 7.8003
_cell_angle_alpha 90.00
_cell_angle_beta 90.00
_cell_angle_gamma 120.00
loop_
_space_group_symop_operation_xyz
'x,y,z'
'-x,-y,-z'
'-y,x-y,z'
'y,-x+y,-z'
'-x+y,-x,z'
'x-y,x,-z'
loop_
_atom_site_label
_atom_site_fract_x
_atom_site_fract_y
_atom_site_fract_z
_atom_site_occupancy
K1 0.0000 0.0000 0.0000 1
Nd1 0.0000 0.0000 0.5000 1
Cr1 0.3333 0.6667 0.7651 1
O1 0.1744 0.3542 0.6941 1
O2 0.3333 0.6667 0.9725 1
```

5.
Computed, not measured: a relaxed structure of K4Nd3CrO8 at the GGA+U level of DFT.

Calculated values
Its density of states at the Fermi level is 0.00 states/eV per cell.

Structure (CIF):
```
data_K4Nd3CrO8
_chemical_formula_sum 'K12 Nd9 Cr3 O24'
_space_group_name_H-M_alt 'R -3 m'
_space_group_IT_number 166
_space_group_name_Hall '-R 3 2"'
_cell_length_a 7.0423
_cell_length_b 7.0423
_cell_length_c 18.8032
_cell_angle_alpha 90.00
_cell_angle_beta 90.00
_cell_angle_gamma 120.00
loop_
_atom_site_label
_atom_site_fract_x
_atom_site_fract_y
_atom_site_fract_z
_atom_site_occupancy
K1 0.0000 0.0000 0.0000 1
K2 0.0000 0.5000 0.0000 1
Nd1 0.0000 0.5000 0.5000 1
Cr1 0.0000 0.0000 0.5000 1
O1 0.0000 0.0000 0.2317 1
O2 0.0261 0.5131 0.2281 1
```

Calculated total energy in eV per atom, matching the order above: -6.974; -6.397; -6.675; -6.905; -6.434